First-principles (PBE) data for FeBiWAu after structural relaxation, as listed in OQMD via LeMat-Bulk.

a = 6.601 Å, b = 6.601 Å, c = 6.601 Å
α = 90.00°, β = 90.00°, γ = 90.00°
Space group F-43m (No. 216)
Asymmetric unit:
Fe 0.000 0.000 0.000 x4
Bi 0.250 0.250 0.750 x4
W 0.250 0.250 0.250 x4
Au 0.000 0.000 0.500 x4

Properties
- Total moment: 0.219 μB/f.u.
- Distance to the lowest polymorph of the same formula: 120.5 meV per atom

First-principles (PBE) data for Y2TmSc3CuSe2 after structural relaxation, as listed in OQMD via LeMat-Bulk.

a = 3.841 Å, b = 13.418 Å, c = 7.717 Å
α = 90.00°, β = 90.00°, γ = 90.00°
Space group Amm2 (No. 38)
Asymmetric unit:
Y 0.000 0.202 0.000 x4
Tm 0.000 0.000 0.605 x2
Sc 0.500 0.000 0.957 x2
Sc 0.500 0.122 0.325 x4
Cu 0.000 0.000 0.207 x2
Se 0.500 0.166 0.702 x4

Properties
- Total moment: 1.965 μB/f.u.
- Energy: -5.994 eV/atom

First-principles (PBE) data for HfFeTe2 after structural relaxation, as listed in OQMD via LeMat-Bulk.

a = 7.056 Å, b = 7.056 Å, c = 7.056 Å
α = 90.00°, β = 90.00°, γ = 90.00°
Space group F-43m (No. 216)
Asymmetric unit:
Hf 0.000 0.000 0.000 x4
Fe 0.250 0.250 0.250 x4
Te 0.000 0.000 0.500 x4
Te 0.250 0.250 0.750 x4

Properties
- Total moment: 2.157 μB/f.u.
- Energy: -5.742 eV/atom

First-principles (PBE) data for CsCuSiS3 after structural relaxation, as listed in OQMD via LeMat-Bulk.

a = 3.534 Å, b = 15.459 Å, c = 9.751 Å
α = 90.00°, β = 90.00°, γ = 90.00°
Space group Cmcm (No. 63)
Asymmetric unit:
Cs 0.000 0.242 0.250 x4
Cu 0.000 0.049 0.750 x4
Si 0.000 0.500 0.000 x4
S 0.000 0.102 0.534 x8
S 0.000 0.454 0.750 x4

Properties
- Distance to the lowest polymorph of the same formula: 113.1 meV per atom

First-principles (PBE) data for PmHoTl2 after structural relaxation, as listed in OQMD via LeMat-Bulk.

a = 3.816 Å, b = 3.816 Å, c = 7.625 Å
α = 90.00°, β = 90.00°, γ = 90.00°
Space group P4/mmm (No. 123)
Asymmetric unit:
Pm 0.000 0.000 0.000 x1
Ho 0.000 0.000 0.500 x1
Tl 0.500 0.500 0.260 x2

Properties
- Total moment: 0.030 μB/f.u.
- Energy: -3.873 eV/atom

First-principles (PBE) data for Tb2Pb after structural relaxation, as listed in OQMD via LeMat-Bulk.

a = 13.519 Å, b = 13.519 Å, c = 13.519 Å
α = 90.00°, β = 90.00°, γ = 90.00°
Space group Fd-3m (No. 227, origin choice 2)
Asymmetric unit:
Tb 0.000 0.000 0.000 x16
Pb 0.125 0.125 0.125 x8

Properties
- Total moment: 0.006 μB/f.u.
- Energy: -2.961 eV/atom

First-principles (PBE) data for KDyRe after structural relaxation, as listed in OQMD via LeMat-Bulk.

a = 6.991 Å, b = 6.991 Å, c = 6.991 Å
α = 90.00°, β = 90.00°, γ = 90.00°
Space group F-43m (No. 216)
Asymmetric unit:
K 0.000 0.000 0.000 x4
Dy 0.250 0.250 0.750 x4
Re 0.250 0.250 0.250 x4

Properties
- Total moment: 2.350 μB/f.u.
- Energy: -3.806 eV/atom

First-principles (PBE) data for ZrBi after structural relaxation, as listed in OQMD via LeMat-Bulk.

a = 3.259 Å, b = 5.478 Å, c = 11.964 Å
α = 90.00°, β = 90.00°, γ = 90.00°
Space group Pmmn (No. 59, origin choice 2)
Asymmetric unit:
Zr 0.250 0.250 0.027 x2
Zr 0.250 0.750 0.192 x2
Bi 0.250 0.250 0.568 x2
Bi 0.250 0.750 0.739 x2

Properties
- Total moment: 0.001 μB/f.u.
- Energy: -6.348 eV/atom